## Tb2PrSmTl4 (PBE)

Data for Tb2PrSmTl4 after structural relaxation.

Structure (POSCAR):
```
Tb2PrSmTl4
1.0
-2.666 -3.844 -2.797
-2.902 -3.778 2.648
-9.041 2.715 -0.425
Tb Pr Sm Tl
2 1 1 4
Direct
0.750 0.750 0.749
0.250 0.250 0.251
0.000 0.000 0.000
0.500 0.500 0.500
0.376 0.376 0.872
0.874 0.874 0.378
0.126 0.126 0.622
0.624 0.624 0.128
```

**Fermi-level density of states**: 0.8068 states/eV/atom
**Energy relative to the elements**: -0.366 eV/atom
**Size of the total moment**: 0.00 μB/f.u.